DFT (GGA-PBE) results for a relaxed PaTaAl crystal.

a = 2.949 Å, b = 4.928 Å, c = 4.928 Å
α = 120.00°, β = 90.00°, γ = 90.00°
Site moments in Bohr magnetons follow the coordinates.
Sites, in units of the cell vectors:
Pa1 0.667 0.333 0.667  0.55
Al1 0.167 0.000 0.000  0.01
Ta1 0.167 0.667 0.333  0.11

energy relative to the elements	0.34	eV/f.u.
total DFT energy (no corrections)	-8.250	eV per atom
distance to the lowest polymorph of the same formula	157	meV/atom
calculated density	11.75	g/cm3


DFT (GGA-PBE) results for a relaxed Mg3ZnOs crystal.

a = 4.994 Å, b = 4.994 Å, c = 4.994 Å
α = 90.00°, β = 90.00°, γ = 90.00°
Sites, in units of the cell vectors:
Zn1 0.500 0.500 0.500
Os1 0.000 0.000 0.000
Mg1 0.000 0.500 0.000
Mg2 0.000 0.000 0.500
Mg3 0.500 0.000 0.000

energy relative to the elements	3.27	eV/f.u.
total DFT energy (no corrections)	-2.804	eV per atom
distance to the lowest polymorph of the same formula	0	meV/atom
calculated density	4.38	g/cm3


DFT (GGA-PBE) results for a relaxed Tb2Nd3Er6Tm crystal.

a = 6.167 Å, b = 6.167 Å, c = 11.738 Å
α = 95.01°, β = 95.01°, γ = 119.97°
Sites, in units of the cell vectors:
Tb1 0.333 0.667 0.000
Tb2 0.667 0.333 0.000
Nd1 0.167 0.833 0.500
Nd2 0.833 0.167 0.500
Nd3 0.500 0.500 0.500
Er1 0.918 0.585 0.754
Er2 0.749 0.749 0.246
Er3 0.082 0.415 0.246
Er4 0.585 0.918 0.754
Er5 0.251 0.251 0.754
Er6 0.415 0.082 0.246
Tm1 0.000 0.000 0.000

energy relative to the elements	0.24	eV/f.u.
total DFT energy (no corrections)	-4.598	eV per atom
calculated density	8.39	g/cm3


DFT (GGA-PBE) results for a relaxed TbPmInRu crystal.

a = 5.140 Å, b = 5.140 Å, c = 5.140 Å
α = 60.00°, β = 60.00°, γ = 60.00°
Sites, in units of the cell vectors:
Ru1 0.750 0.750 0.750
In1 0.250 0.250 0.250
Tb1 0.500 0.500 0.500
Pm1 0.000 0.000 0.000

energy relative to the elements	-1.10	eV/f.u.
total DFT energy (no corrections)	-5.623	eV per atom
calculated density	8.99	g/cm3


Which of these has the lowest total DFT energy (no corrections)? PaTaAl